Computed, not measured: YCuH2 at its PBEsol-relaxed geometry at the SCAN level of DFT.

Results
Calculated total energy, eV per atom: -12.65

Unit cell a=4.173 b=4.173 c=10.354 alpha=90.00 beta=90.00 gamma=90.00
Space group I-42d (No. 122)
Unique sites:
Y 0.000 0.000 0.000 (multiplicity 4)
Cu 0.000 0.000 0.500 (multiplicity 4)
H 0.123 0.250 0.625 (multiplicity 8)



Computed, not measured: LaBe2Os at its PBEsol-relaxed geometry at the SCAN level of DFT.

Results
Energy above the most stable polymorph in this dataset, meV per atom: 148.1

Unit cell a=3.850 b=3.850 c=4.398 alpha=90.00 beta=90.00 gamma=90.00
Space group P4/mmm (No. 123)
Unique sites:
La 0.000 0.000 0.000 (multiplicity 1)
Be 0.000 0.500 0.500 (multiplicity 2)
Os 0.500 0.500 0.000 (multiplicity 1)



| no. | size of the total moment (Bohr magnetons per cell) |
| --- | --- |
| 1 | 0.0 |
| 2 | 0.0 |